# 1
DFT (PBE-GGA) results for an optimized crystal structure of RbNi4Sb12.

a = 8.103 Å, b = 8.103 Å, c = 8.103 Å
α = 109.47°, β = 109.47°, γ = 109.47°
Sites, in units of the cell vectors:
Sb: 0.838 0.342 0.180
Sb: 0.342 0.505 0.162
Sb: 0.342 0.180 0.838
Sb: 0.505 0.162 0.342
Sb: 0.162 0.658 0.820
Sb: 0.162 0.342 0.505
Sb: 0.180 0.838 0.342
Sb: 0.658 0.495 0.838
Sb: 0.495 0.838 0.658
Sb: 0.658 0.820 0.162
Sb: 0.820 0.162 0.658
Sb: 0.838 0.658 0.495
Ni: 0.000 0.500 0.000
Ni: 0.000 0.000 0.500
Ni: 0.500 0.500 0.500
Ni: 0.500 0.000 0.000
Rb: 0.000 0.000 0.000

Summary:
* volume: 24.09 Å³/atom
* N(E_F): 8.13 states/eV per cell
* VASP energy: -0.16545 Ha/atom
* ΔE_f (raw): -0.175 eV/atom
* total magnetic moment: 0.000 Bohr magnetons per cell

=====

# 2
DFT (PBE-GGA) results for an optimized crystal structure of Zr2BeAgN.

a = 4.669 Å, b = 4.669 Å, c = 3.450 Å
α = 90.00°, β = 90.00°, γ = 90.00°
Sites, in units of the cell vectors:
Zr: 0.500 0.000 0.000
Zr: 0.000 0.500 0.000
N: 0.000 0.000 0.000
Be: 0.000 0.000 0.500
Ag: 0.500 0.500 0.500

Summary:
* volume: 15.04 Å³/atom
* N(E_F): 3.90 states/eV per cell
* VASP energy: -0.25541 Ha/atom
* ΔE_f (raw): -0.550 eV/atom
* total magnetic moment: 0.000 Bohr magnetons per cell